[1]
This record from the Alexandria database describes TaNbW at its PBEsol-relaxed geometry. The functional is meta-GGA SCAN.

The raw total energy comes out at -678.0 eV for the cell shown.

The space group is Fmm2 (No. 42) and the conventional cell measures 3.203, 4.614 and 13.678 Å, with angles of 90.00, 90.00 and 90.00 degrees. The asymmetric unit holds Ta at (0.000, 0.000, 0.000), Nb at (0.000, 0.000, 0.674) and W at (0.000, 0.000, 0.338).

[2]
This record from the Alexandria database describes YTa3Nb at its PBEsol-relaxed geometry. The functional is meta-GGA SCAN.

The raw total energy comes out at -254.8 eV for the cell shown.

The space group is Pm-3m (No. 221) and the conventional cell measures 4.880, 4.880 and 4.880 Å, with angles of 90.00, 90.00 and 90.00 degrees. The asymmetric unit holds Y at (0.000, 0.000, 0.000), Ta at (0.000, 0.500, 0.500) and Nb at (0.500, 0.500, 0.500).

[3]
This record from the Alexandria database describes YTa3Nb at its PBEsol-relaxed geometry. The functional is meta-GGA SCAN.

The raw total energy comes out at -248.6 eV for the cell shown.

The space group is Pm-3m (No. 221) and the conventional cell measures 4.764, 4.764 and 4.764 Å, with angles of 90.00, 90.00 and 90.00 degrees. The asymmetric unit holds Y at (0.000, 0.000, 0.000), Ta at (0.000, 0.000, 0.500) and Nb at (0.500, 0.500, 0.500).

[4]
This record from the Alexandria database describes ZrTa2Nb at its PBEsol-relaxed geometry. The functional is meta-GGA SCAN.

The raw total energy comes out at -786.1 eV for the cell shown.

The space group is Fm-3m (No. 225) and the conventional cell measures 6.665, 6.665 and 6.665 Å, with angles of 90.00, 90.00 and 90.00 degrees. The asymmetric unit holds Zr at (0.000, 0.000, 0.000), Ta at (0.250, 0.250, 0.250) and Nb at (0.000, 0.000, 0.500).

[5]
This record from the Alexandria database describes TiNbTc2 at its PBEsol-relaxed geometry. The functional is meta-GGA SCAN.

The raw total energy comes out at -485.8 eV for the cell shown.

The space group is Fm-3m (No. 225) and the conventional cell measures 6.227, 6.227 and 6.227 Å, with angles of 90.00, 90.00 and 90.00 degrees. The asymmetric unit holds Ti at (0.000, 0.000, 0.000), Nb at (0.000, 0.000, 0.500) and Tc at (0.250, 0.250, 0.250).

[6]
This record from the Alexandria database describes NbTcW2 at its PBEsol-relaxed geometry. The functional is meta-GGA SCAN.

The raw total energy comes out at -831.0 eV for the cell shown.

The space group is Fm-3m (No. 225) and the conventional cell measures 6.305, 6.305 and 6.305 Å, with angles of 90.00, 90.00 and 90.00 degrees. The asymmetric unit holds Nb at (0.000, 0.000, 0.000), Tc at (0.000, 0.000, 0.500) and W at (0.250, 0.250, 0.250).

[7]
This record from the Alexandria database describes NbZnTc2W at its PBEsol-relaxed geometry. The functional is meta-GGA SCAN.

The raw total energy comes out at -178.1 eV for the cell shown.

The space group is P4/mmm (No. 123) and the conventional cell measures 4.381, 4.381 and 4.507 Å, with angles of 90.00, 90.00 and 90.00 degrees. The asymmetric unit holds Nb at (0.000, 0.000, 0.000), Zn at (0.000, 0.000, 0.500), Tc at (0.000, 0.500, 0.500) and W at (0.500, 0.500, 0.000).

[8]
This record from the Alexandria database describes YZrNbTc2 at its PBEsol-relaxed geometry. The functional is meta-GGA SCAN.

The raw total energy comes out at -156.0 eV for the cell shown.

The space group is P4/mmm (No. 123) and the conventional cell measures 4.710, 4.710 and 4.959 Å, with angles of 90.00, 90.00 and 90.00 degrees. The asymmetric unit holds Y at (0.000, 0.000, 0.000), Zr at (0.500, 0.500, 0.000), Nb at (0.000, 0.000, 0.500) and Tc at (0.000, 0.500, 0.500).